No. 1
The following is a PBE calculation of an optimized crystal structure of FeHgAsPt, from the Open Quantum Materials Database.

a b c (Å): 4.559 4.559 4.559
angles (deg): 60.00 60.00 60.00
Element x y z (fractional)
Pt  0.250  0.250  0.250
Fe  0.750  0.750  0.750
Hg  0.500  0.500  0.500
As  0.000  0.000  0.000

---

No. 2
The following is a PBE calculation of an optimized crystal structure of RbSm2CuTeSe3, from the Open Quantum Materials Database.

a b c (Å): 7.675 7.675 14.852
angles (deg): 90.00 90.00 147.72
Element x y z (fractional)
Cu  0.161  0.839  0.250
Se  0.000  0.000  0.500
Se  0.000  0.000  0.000
Rb  0.127  0.873  0.750
Se  0.257  0.743  0.390
Cu  0.839  0.161  0.750
Sm  0.366  0.634  0.944
Sm  0.634  0.366  0.056
Se  0.257  0.743  0.110
Se  0.743  0.257  0.890
Te  0.559  0.441  0.250
Sm  0.366  0.634  0.556
Te  0.441  0.559  0.750
Sm  0.634  0.366  0.444
Rb  0.873  0.127  0.250
Se  0.743  0.257  0.610

---

No. 3
The following is a PBE calculation of an optimized crystal structure of MgH6Pd2, from the Open Quantum Materials Database.

a b c (Å): 4.480 4.480 4.480
angles (deg): 60.00 60.00 60.00
Element x y z (fractional)
H  0.307  0.693  0.693
H  0.307  0.307  0.693
H  0.693  0.693  0.307
Pd  0.250  0.250  0.250
Pd  0.750  0.750  0.750
H  0.307  0.693  0.307
H  0.693  0.307  0.693
H  0.693  0.307  0.307
Mg  0.000  0.000  0.000

---

Here are the calculated uncorrected energy numbers, same order: -4.549 -4.883 -3.094 (eV per atom).